BaMn2Ru: relaxed, PBE-GGA.

Cell and atoms, written as POSCAR:
```
BaMn2Ru
1.0
0.9892 -5.5155 -4.6903
3.8311 -6.2192 -0.2046
-4.7795 4.7043 2.9023
Mn Ru Ba
2 1 1
Direct
0.0270 0.0270 0.0000 Mn
0.6511 0.1511 0.5000 Mn
0.5142 0.5142 0.0000 Ru
0.3077 0.8077 0.5000 Ba
```

Calculated volume (Å³ per atom): 23.48
Fermi-level density of states (states/eV/cell): 3.9
Symmetry: Imm2 (44)
Distance to the lowest polymorph of the same formula (meV per atom): 322
DFT formation energy (meV per atom): 673